a) Here is an optimized crystal structure of LiY3 from Alexandria. Energies are from PBEsol.

Lattice parameters (Å, degrees): 3.4579 3.4579 11.2994 81.20 81.20 60.00
Positions (direct):
Y1 0.7482 0.7482 0.7555
Y2 0.5000 0.5000 0.5000
Y3 0.2518 0.2518 0.2445
Li1 0.0000 0.0000 0.0000

Properties
* SG: R-3m (166)
* calculated density: 3.946 Mg/m³

=====

b) Here is an optimized crystal structure of LiY3 from Alexandria. Energies are from PBEsol.

Lattice parameters (Å, degrees): 3.7004 5.4101 6.4477 114.81 106.68 90.00
Positions (direct):
Y1 0.7235 0.2235 0.4471
Y2 0.2765 0.7765 0.5529
Y3 0.5000 0.5000 0.0000
Li1 0.0000 0.0000 0.0000

Properties
* SG: Immm (71)
* calculated density: 4.088 Mg/m³

=====

In order of decreasing stability: b), a).

=====

a) Here is an optimized crystal structure of LiY2Zr from Alexandria. Energies are from PBEsol.

Lattice parameters (Å, degrees): 3.3894 3.3888 8.9665 90.00 90.00 89.97
Positions (direct):
Y1 0.0000 0.0000 0.7463
Y2 0.0000 0.0000 0.2537
Zr1 0.5000 0.5000 0.5000
Li1 0.5000 0.5000 0.0000

Properties
* SG: P4/mmm (123)
* calculated density: 4.450 Mg/m³

=====

b) Here is an optimized crystal structure of LiY2Zr from Alexandria. Energies are from PBEsol.

Lattice parameters (Å, degrees): 3.3281 4.7098 6.4674 90.00 90.00 90.00
Positions (direct):
Y1 0.5000 0.5000 0.2790
Y2 0.0000 0.0000 0.9870
Zr1 0.0000 0.0000 0.4919
Li1 0.5000 0.5000 0.7421

Properties
* SG: Pmm2 (25)
* calculated density: 4.521 Mg/m³

=====

In order of decreasing stability: a), b).

=====

a) Here is an optimized crystal structure of Li4Zn3 from Alexandria. Energies are from PBEsol.

Lattice parameters (Å, degrees): 4.9554 5.0287 5.0287 120.00 90.00 90.00
Positions (direct):
Zn1 0.0000 0.5000 0.0000
Zn2 0.0000 0.5000 0.5000
Zn3 0.0000 0.0000 0.5000
Li1 0.5000 0.3333 0.6667
Li2 0.2411 0.0000 0.0000
Li3 0.7589 0.0000 0.0000
Li4 0.5000 0.6667 0.3333

Properties
* SG: P6/mmm (191)
* calculated density: 3.427 Mg/m³

=====

b) Here is an optimized crystal structure of Li4Zn3 from Alexandria. Energies are from PBEsol.

Lattice parameters (Å, degrees): 2.9077 2.9077 12.7981 96.52 96.52 90.00
Positions (direct):
Li1 0.5687 0.5687 0.1373
Li2 0.1517 0.1517 0.3034
Li3 0.4313 0.4313 0.8627
Li4 0.8483 0.8483 0.6966
Zn1 0.0000 0.0000 0.0000
Zn2 0.2823 0.2823 0.5645
Zn3 0.7177 0.7177 0.4355

Properties
* SG: I4/mmm (139)
* calculated density: 3.483 Mg/m³

=====

In order of decreasing stability: a), b).